A relaxed structure of Mg2BeNi2, computed with PBE-GGA.

Computed properties:
Distance to the lowest polymorph of the same formula in meV/atom: 413
Calculated formation energy in eV per atom: 0.26
Total DFT energy (no corrections) in eV/atom: -3.4379

CIF file:
```
data_Mg2BeNi2
_chemical_formula_sum 'Mg4 Be2 Ni4'
_symmetry_space_group_name_H-M 'P 4/m b m'
_symmetry_Int_Tables_number 127
_symmetry_space_group_name_Hall '-P 4 2ab'
_cell_length_a 7.0894
_cell_length_b 7.0894
_cell_length_c 2.8098
_cell_angle_alpha 90.00
_cell_angle_beta 90.00
_cell_angle_gamma 90.00
loop_
_atom_site_label
_atom_site_type_symbol
_atom_site_fract_x
_atom_site_fract_y
_atom_site_fract_z
Mg1 Mg 0.1402 0.3598 0.0000
Be1 Be 0.0000 0.0000 0.0000
Ni1 Ni 0.1599 0.6599 0.5000
```